<i>
The following is a PBE calculation of crystalline Mo3Pb4 at its relaxed geometry, from Alexandria.

**Magnetic moment**: 0.097 μB per atom
**D(E_F)**: 5.042 states/eV/f.u.
**V**: 167.2 Å³ per cell
**SG**: No. 139

a b c (Å): 16.135 16.135 16.135
angles (deg): 168.49 168.49 16.31
Atoms (fractional coordinates):
Mo  0.000  0.000  0.000
Mo  0.270  0.270  0.000
Mo  0.730  0.730  0.000
Pb  0.165  0.165  0.000
Pb  0.436  0.436  0.000
Pb  0.564  0.564  0.000
Pb  0.835  0.835  0.000


<ii>
The following is a PBE calculation of crystalline Mo3Pb4 at its relaxed geometry, from Alexandria.

**Magnetic moment**: 0.000 μB per atom
**D(E_F)**: 6.318 states/eV/f.u.
**V**: 159.8 Å³ per cell
**SG**: No. 191

a b c (Å): 5.464 5.464 6.180
angles (deg): 90.00 90.00 120.00
Atoms (fractional coordinates):
Mo  0.000  0.500  0.000
Mo  0.500  0.000  0.000
Mo  0.500  0.500  0.000
Pb  0.000  0.000  0.243
Pb  0.000  0.000  0.757
Pb  0.333  0.667  0.500
Pb  0.667  0.333  0.500


<i> has the most favorable energy; the next structure is 19.2 kJ/mol of atoms above.


<i>
The following is a PBE calculation of crystalline MoPtPb2 at its relaxed geometry, from Alexandria.

**Magnetic moment**: 0.000 μB per atom
**D(E_F)**: 3.200 states/eV/f.u.
**V**: 91.3 Å³ per cell
**SG**: No. 99

a b c (Å): 3.113 3.113 9.420
angles (deg): 90.00 90.00 90.00
Atoms (fractional coordinates):
Mo  0.000  0.000  0.000
Pt  0.500  0.500  0.836
Pb  0.000  0.000  0.599
Pb  0.500  0.500  0.240


<ii>
The following is a PBE calculation of crystalline MoPtPb2 at its relaxed geometry, from Alexandria.

**Magnetic moment**: 0.001 μB per atom
**D(E_F)**: 3.838 states/eV/f.u.
**V**: 82.9 Å³ per cell
**SG**: No. 6

a b c (Å): 3.154 5.218 5.040
angles (deg): 90.00 90.08 90.00
Atoms (fractional coordinates):
Mo  0.000  0.000  0.000
Pt  0.499  0.500  0.798
Pb  0.000  0.500  0.265
Pb  0.500  0.000  0.519


<iii>
The following is a PBE calculation of crystalline MoPtPb2 at its relaxed geometry, from Alexandria.

**Magnetic moment**: 0.140 μB per atom
**D(E_F)**: 4.203 states/eV/f.u.
**V**: 83.1 Å³ per cell
**SG**: No. 166

a b c (Å): 9.237 9.237 9.237
angles (deg): 20.31 20.31 20.31
Atoms (fractional coordinates):
Mo  0.000  0.000  0.000
Pt  0.500  0.500  0.500
Pb  0.250  0.250  0.250
Pb  0.750  0.750  0.750


<i> has the most favorable energy; the next structure is 28.4 kJ/mol of atoms above.


<i>
The following is a PBE calculation of crystalline RbMo2Pb2 at its relaxed geometry, from Alexandria.

**Magnetic moment**: 0.000 μB per atom
**D(E_F)**: 2.048 states/eV/f.u.
**V**: 262.6 Å³ per cell
**SG**: No. 127

a b c (Å): 9.180 9.180 3.117
angles (deg): 90.00 90.00 90.00
Atoms (fractional coordinates):
Rb  0.000  0.000  0.000
Rb  0.500  0.500  0.000
Mo  0.087  0.413  0.000
Mo  0.413  0.913  0.000
Mo  0.587  0.087  0.000
Mo  0.913  0.587  0.000
Pb  0.182  0.682  0.500
Pb  0.318  0.182  0.500
Pb  0.682  0.818  0.500
Pb  0.818  0.318  0.500


<ii>
The following is a PBE calculation of crystalline RbMo2Pb2 at its relaxed geometry, from Alexandria.

**Magnetic moment**: 0.000 μB per atom
**D(E_F)**: 4.358 states/eV/f.u.
**V**: 136.7 Å³ per cell
**SG**: No. 139

a b c (Å): 6.049 6.049 6.049
angles (deg): 127.02 127.02 78.22
Atoms (fractional coordinates):
Rb  0.000  0.000  0.000
Mo  0.384  0.384  0.000
Mo  0.616  0.616  0.000
Pb  0.250  0.750  0.500
Pb  0.750  0.250  0.500


<i> has the most favorable energy; the next structure is 11.1 kJ/mol of atoms above.